# Pm6Y2Er3 GGA-PBE relaxed
# DOS at the Fermi energy = 32.6 states/eV/cell
# formation energy = 0.30 eV per atom
data_Pm6Y2Er3
_cell_length_a 4.752
_cell_length_b 4.752
_cell_length_c 33.847
_cell_angle_alpha 90.00
_cell_angle_beta 90.00
_cell_angle_gamma 90.00
_symmetry_space_group_name_H-M 'I 4/m m m'
_symmetry_Int_Tables_number 139
_symmetry_space_group_name_Hall '-I 4 2'
loop_
_atom_site_label
_atom_site_fract_x
_atom_site_fract_y
_atom_site_fract_z
_atom_site_occupancy
Pm1 0.000 0.000 0.202 1
Pm2 0.000 0.500 0.122 1
Y1 0.000 0.000 0.046 1
Er1 0.000 0.000 0.303 1
Er2 0.000 0.000 0.500 1